Material: LiYCl2
Method: DFT, PBE
State: optimized geometry

## Properties
formation energy (no corrections): -1.243 eV/atom
theoretical density: 2.69 Mg/m³

a = 6.112 Å, b = 6.112 Å, c = 7.002 Å
α = 64.12°, β = 64.12°, γ = 90.00°
Each line ends with the local moment (μB).
Element x y z (fractional)
Y 0.000 0.000 0.000  0.74
Y 0.750 0.250 0.500  0.74
Cl 0.187 0.625 0.250  0.04
Cl 0.563 0.125 0.250  0.04
Cl 0.875 0.813 0.750  0.04
Cl 0.375 0.437 0.750  0.04
Li 0.250 0.750 0.500  0.01
Li 0.500 0.500 0.000  0.01